Computed, not measured: a geometry-optimized SrHfNb2 structure at the PBE level of DFT.

The space group is I-42d (No. 122) and the conventional cell measures 4.7521, 4.7521 and 20.2568 Å, with angles of 90.00, 90.00 and 90.00 degrees. The distinct sites, in fractional coordinates, are Sr at (0.0000, 0.0000, 0.0000), Hf at (0.0000, 0.0000, 0.5000) and Nb at (0.1059, 0.2500, 0.6250).

The formation energy is 1.214 eV/atom. As for the energy above the most stable polymorph in this dataset: 325 meV per atom. The value obtained for the volume is 114.4 Å³/f.u. The crystal system is tetragonal.